(1)
A plane-wave DFT calculation with GGA-PBEsol was carried out for a relaxed structure of MoHI2N.

Unit cell a=3.766 b=5.472 c=5.472 alpha=90.00 beta=90.00 gamma=90.00
Site moments in Bohr magnetons follow the coordinates.
Element x y z (fractional)
H  0.500  0.500  0.500  0.32
I  0.000  0.500  0.000  0.02
I  0.000  0.000  0.500  0.02
N  0.500  0.000  0.000  0.04
Mo  0.000  0.000  0.000  -0.39

Size of the total moment in μB/cell: 0.5
SG: No. 123
VASP energy in eV/atom: -4.856
Crystal system: tetragonal
Calculated volume in Å³/f.u.: 112.77

---

(2)
A plane-wave DFT calculation with GGA-PBEsol was carried out for a relaxed structure of Nb2FeReAs.

Unit cell a=4.068 b=4.673 c=4.673 alpha=90.00 beta=90.00 gamma=90.00
Site moments in Bohr magnetons follow the coordinates.
Element x y z (fractional)
As  0.000  0.000  0.000  -0.03
Re  0.500  0.500  0.500  -0.35
Nb  0.000  0.500  0.000  0.07
Fe  0.500  0.000  0.000  1.51
Nb  0.000  0.000  0.500  0.07

Size of the total moment in μB/cell: 1.2
SG: No. 123
Crystal system: tetragonal
Formation enthalpy at 0 K in eV/atom: 1.04
Calculated volume in Å³/f.u.: 88.83

---

(3)
A plane-wave DFT calculation with GGA-PBEsol was carried out for a relaxed structure of SrLi2Mn.

Unit cell a=4.212 b=4.704 c=5.051 alpha=90.00 beta=90.00 gamma=90.00
Site moments in Bohr magnetons follow the coordinates.
Element x y z (fractional)
Mn  0.500  0.000  0.500  3.87
Li  0.000  0.000  0.000  -0.01
Sr  0.000  0.500  0.500  -0.08
Li  0.500  0.500  0.000  -0.02

ΔE to the lowest computed polymorph in meV/atom: 79
Size of the total moment in μB/cell: 3.7
SG: No. 47
Crystal system: orthorhombic
Formation enthalpy at 0 K in eV/atom: 0.53
Calculated volume in Å³/f.u.: 100.06

---

(4)
A plane-wave DFT calculation with GGA-PBEsol was carried out for a relaxed structure of RbBa4Sb3O.

Unit cell a=8.906 b=8.906 c=10.357 alpha=115.46 beta=115.46 gamma=90.00
Element x y z (fractional)
Ba  0.813  0.313  0.309
Ba  0.504  0.004  0.691
Ba  0.687  0.504  0.691
Ba  0.187  0.687  0.691
Sb  0.886  0.386  0.000
O  0.250  0.750  0.500
Ba  0.996  0.813  0.309
Sb  0.386  0.114  0.000
Sb  0.250  0.250  0.500
Sb  0.614  0.886  0.000
Ba  0.004  0.187  0.691
Rb  0.000  0.000  0.000
Ba  0.496  0.996  0.309
Rb  0.500  0.500  0.000
Ba  0.313  0.496  0.309
Sb  0.750  0.750  0.500
Sb  0.114  0.614  0.000
O  0.750  0.250  0.500

Size of the total moment in μB/cell: 0.0
Uncorrected formation energy in eV/atom: -1.30
SG: No. 140
Crystal system: tetragonal
Calculated volume in Å³/f.u.: 326.07